# 1
Compound: Tb7Y2Er
Source: Alexandria via LeMat-Bulk
Functional: GGA-PBE
Structure: relaxed

abc: 9.494 9.494 9.494
angles: 146.68 136.61 55.78
Sites, in units of the cell vectors:
Tb: 0.000 0.000 0.000
Tb: 0.142 0.391 0.751
Tb: 0.302 0.802 0.500
Tb: 0.360 0.609 0.751
Tb: 0.640 0.391 0.249
Tb: 0.698 0.198 0.500
Tb: 0.858 0.609 0.249
Y: 0.200 0.200 0.000
Y: 0.800 0.800 0.000
Er: 0.500 0.000 0.500

Results
calculated total energy	-4.94	eV/atom
formation enthalpy at 0 K	0.0547	eV per atom
space-group type	Immm
E above lowest polymorph	0.0	meV/atom



# 2
Compound: AlCuAgPd2
Source: Alexandria via LeMat-Bulk
Functional: GGA-PBE
Structure: relaxed

abc: 4.532 4.532 4.752
angles: 90.00 90.00 90.00
Sites, in units of the cell vectors:
Al: 0.000 0.000 0.000
Cu: 0.500 0.500 0.500
Ag: 0.000 0.000 0.500
Pd: 0.000 0.500 0.000
Pd: 0.500 0.000 0.000

Results
calculated total energy	-3.79	eV/atom
formation enthalpy at 0 K	0.4301	eV per atom
space-group type	P4/mmm



# 3
Compound: LaHgBrF2
Source: Alexandria via LeMat-Bulk
Functional: GGA-PBE
Structure: relaxed

abc: 4.759 4.759 5.997
angles: 90.00 90.00 90.00
Sites, in units of the cell vectors:
La: 0.000 0.000 0.000
Hg: 0.500 0.500 0.500
Br: 0.000 0.000 0.500
F: 0.000 0.500 0.000
F: 0.500 0.000 0.000

Results
calculated total energy	-4.73	eV/atom
space-group type	P4/mmm
uncorrected formation energy	-2.5984	eV per atom
E above lowest polymorph	0.0	meV/atom



# 4
Compound: TbAl11Re
Source: Alexandria via LeMat-Bulk
Functional: GGA-PBE
Structure: relaxed

abc: 6.882 6.882 7.106
angles: 98.02 98.02 134.88
Sites, in units of the cell vectors:
Tb: 0.000 0.000 0.000
Al: 0.000 0.000 0.500
Al: 0.000 0.500 0.000
Al: 0.019 0.365 0.359
Al: 0.286 0.501 0.779
Al: 0.365 0.019 0.359
Al: 0.499 0.714 0.221
Al: 0.500 0.000 0.000
Al: 0.501 0.286 0.779
Al: 0.635 0.981 0.641
Al: 0.714 0.499 0.221
Al: 0.981 0.635 0.641
Re: 0.500 0.500 0.500

Results
calculated total energy	-4.68	eV/atom
formation enthalpy at 0 K	-0.2009	eV per atom
space-group type	C2/m



# 5
Compound: RbMnAu3
Source: Alexandria via LeMat-Bulk
Functional: GGA-PBE
Structure: relaxed

abc: 5.170 5.170 5.170
angles: 90.00 90.00 90.00
Sites, in units of the cell vectors:
Rb: 0.000 0.000 0.000
Mn: 0.500 0.500 0.500
Au: 0.000 0.500 0.500
Au: 0.500 0.000 0.500
Au: 0.500 0.500 0.000

Results
calculated total energy	-3.87	eV/atom
formation enthalpy at 0 K	0.1198	eV per atom
space-group type	Pm-3m
E above lowest polymorph	0.0	meV/atom



# 6
Compound: YAlAg
Source: Alexandria via LeMat-Bulk
Functional: GGA-PBE
Structure: relaxed

abc: 6.106 6.106 6.106
angles: 148.01 148.01 45.87
Sites, in units of the cell vectors:
Y: 0.000 0.000 0.000
Al: 0.315 0.315 0.000
Ag: 0.690 0.690 0.000

Results
calculated total energy	-4.62	eV/atom
formation enthalpy at 0 K	-0.2654	eV per atom
space-group type	I4mm



# 7
Compound: KTlP2Ir
Source: Alexandria via LeMat-Bulk
Functional: GGA-PBE
Structure: relaxed

abc: 4.636 4.636 5.902
angles: 90.00 90.00 90.00
Sites, in units of the cell vectors:
K: 0.000 0.000 0.000
Tl: 0.500 0.500 0.000
P: 0.000 0.500 0.500
P: 0.500 0.000 0.500
Ir: 0.000 0.000 0.500

Results
calculated total energy	-4.35	eV/atom
formation enthalpy at 0 K	0.2758	eV per atom
space-group type	P4/mmm



# 8
Compound: MgSc2GeC
Source: Alexandria via LeMat-Bulk
Functional: GGA-PBE
Structure: relaxed

abc: 4.487 4.487 4.262
angles: 90.00 90.00 90.00
Sites, in units of the cell vectors:
Mg: 0.000 0.000 0.000
Sc: 0.000 0.500 0.500
Sc: 0.500 0.000 0.500
Ge: 0.500 0.500 0.000
C: 0.000 0.000 0.500

Results
calculated total energy	-6.17	eV/atom
formation enthalpy at 0 K	-0.5486	eV per atom
space-group type	P4/mmm



Which value of calculated total energy does entry 8 give?
-6.17 eV/atom